First-principles (PBE-GGA) data for crystalline InTe2W at its relaxed geometry, as listed in Alexandria.

Results
- raw formation energy (kJ/mol of formula units) = 57
- space group = R-3m (166)
- spin magnetization (μB per atom) = 0.0000

abc: 10.6905 10.6905 10.6905
angles: 18.72 18.72 18.72
With the nearest neighbours (Å) after each atom.
Element x y z (fractional)
In: 0.0000 0.0000 0.0000  2 Te 3.37, 6 In 3.48
Te: 0.1069 0.1069 0.1069  3 W 2.75
Te: 0.8931 0.8931 0.8931  3 W 2.75
W: 0.5000 0.5000 0.5000  6 Te 2.75

---

First-principles (PBE-GGA) data for crystalline MgTaSi at its relaxed geometry, as listed in Alexandria.

Results
- raw formation energy (kJ/mol of formula units) = 14
- space group = Fmm2 (42)
- spin magnetization (μB per atom) = 0.0000

abc: 6.9195 6.7799 2.8650
angles: 80.67 75.21 24.11
With the nearest neighbours (Å) after each atom.
Element x y z (fractional)
Mg: 0.0000 0.0000 0.0000  4 Si 2.85-3.17, 4 Mg 2.86, 2 Ta 2.97
Ta: 0.6815 0.6815 0.3185  2 Si 2.62, 4 Ta 2.86
Si: 0.3292 0.3292 0.6708  2 Ta 2.62, 2 Mg 2.85, 4 Si 2.86

---

First-principles (PBE-GGA) data for crystalline Ba3CdH at its relaxed geometry, as listed in Alexandria.

Results
- excess energy over the best structure of this formula in the dataset (eV per atom) = 0.000
- space group = P2_1/m (11)
- spin magnetization (μB per atom) = 0.0000

abc: 4.6596 11.4270 8.0686
angles: 90.00 106.75 90.00
With the nearest neighbours (Å) after each atom.
Element x y z (fractional)
Ba: 0.0519 0.2500 0.1042  2 H 2.65
Ba: 0.3588 0.0713 0.7172  1 H 2.67
Ba: 0.3588 0.4287 0.7172  1 H 2.67
Ba: 0.6412 0.5713 0.2828  1 H 2.67
Ba: 0.6412 0.9287 0.2828  1 H 2.67
Ba: 0.9481 0.7500 0.8958  2 H 2.65
Cd: 0.2585 0.7500 0.5182  8 Ba 3.59-3.98
Cd: 0.7415 0.2500 0.4818  8 Ba 3.59-3.98
H: 0.4697 0.2500 0.9395  4 Ba 2.65-2.67
H: 0.5303 0.7500 0.0605  4 Ba 2.65-2.67

---

First-principles (PBE-GGA) data for crystalline HfSc12Cd3 at its relaxed geometry, as listed in Alexandria.

Results
- electronic total energy (eV for the cell shown) = -90.0
- space group = P4/mmm (123)
- spin magnetization (μB per atom) = 0.0731

abc: 4.5145 4.5145 18.1980
angles: 90.00 90.00 90.00
With the nearest neighbours (Å) after each atom.
Element x y z (fractional)
Hf: 0.0000 0.0000 0.0000  12 Sc 3.19
Sc: 0.0000 0.5000 0.1236  2 Hf 3.19, 8 Sc 3.19-3.25, 2 Cd 3.27
Sc: 0.0000 0.5000 0.3758  4 Cd 3.17-3.19, 8 Sc 3.18-3.19
Sc: 0.0000 0.5000 0.6242  4 Cd 3.17-3.19, 8 Sc 3.18-3.19
Sc: 0.0000 0.5000 0.8764  2 Hf 3.19, 8 Sc 3.19-3.25, 2 Cd 3.27
Sc: 0.5000 0.0000 0.1236  2 Hf 3.19, 8 Sc 3.19-3.25, 2 Cd 3.27
Sc: 0.5000 0.0000 0.3758  4 Cd 3.17-3.19, 8 Sc 3.18-3.19
Sc: 0.5000 0.0000 0.6242  4 Cd 3.17-3.19, 8 Sc 3.18-3.19
Sc: 0.5000 0.0000 0.8764  2 Hf 3.19, 8 Sc 3.19-3.25, 2 Cd 3.27
Sc: 0.5000 0.5000 0.0000  8 Sc 3.19, 4 Hf 3.19
Sc: 0.5000 0.5000 0.2524  8 Sc 3.18-3.25, 4 Cd 3.19
Sc: 0.5000 0.5000 0.5000  4 Cd 3.19, 8 Sc 3.19
Sc: 0.5000 0.5000 0.7476  8 Sc 3.18-3.25, 4 Cd 3.19
Cd: 0.0000 0.0000 0.2536  12 Sc 3.17-3.27
Cd: 0.0000 0.0000 0.5000  12 Sc 3.19
Cd: 0.0000 0.0000 0.7464  12 Sc 3.17-3.27

---

First-principles (PBE-GGA) data for crystalline TlFeBi3 at its relaxed geometry, as listed in Alexandria.

Results
- electronic total energy (eV for the cell shown) = -20.5
- space group = Pm-3m (221)
- spin magnetization (μB per atom) = 0.0000

abc: 5.2224 5.2224 5.2224
angles: 90.00 90.00 90.00
With the nearest neighbours (Å) after each atom.
Element x y z (fractional)
Tl: 0.0000 0.0000 0.0000  12 Bi 3.69
Fe: 0.5000 0.5000 0.5000  6 Bi 2.61
Bi: 0.0000 0.5000 0.5000  2 Fe 2.61
Bi: 0.5000 0.0000 0.5000  2 Fe 2.61
Bi: 0.5000 0.5000 0.0000  2 Fe 2.61

---

First-principles (PBE-GGA) data for crystalline Cr5Ir at its relaxed geometry, as listed in Alexandria.

Results
- excess energy over the best structure of this formula in the dataset (eV per atom) = 0.193
- space group = P-62m (189)
- spin magnetization (μB per atom) = 0.0025

abc: 4.4701 4.4701 4.2772
angles: 90.00 90.00 120.00
With the nearest neighbours (Å) after each atom.
Element x y z (fractional)
Cr: 0.0000 0.6610 0.0000  10 Cr 2.56-2.62, 2 Ir 2.62
Cr: 0.3333 0.6667 0.5000  3 Ir 2.58, 9 Cr 2.58-2.60
Cr: 0.3390 0.3390 0.0000  10 Cr 2.56-2.62, 2 Ir 2.62
Cr: 0.6610 0.0000 0.0000  10 Cr 2.56-2.62, 2 Ir 2.62
Cr: 0.6667 0.3333 0.5000  3 Ir 2.58, 9 Cr 2.58-2.60
Ir: 0.0000 0.0000 0.5000  12 Cr 2.58-2.62